1.
VASP calculation (PBE) on crystalline PmZnTc2O8 at its relaxed geometry.

```
12
Lattice="5.1611 0.0000 0.0000 0.0000 5.1611 0.0000 -2.5805 -2.5805 5.6662" Properties=species:S:1:pos:R:3 pbc="T T T"
Pm 0.0000 0.0000 0.0000
Zn 2.5805 0.0000 2.8331
Tc 2.5805 2.5805 0.0000
Tc 0.0000 2.5805 2.8331
O 3.4156 3.8921 0.9701
O 1.7455 1.2690 0.9701
O 1.2952 1.6728 3.7392
O -1.2952 -1.6728 3.7392
O 4.2533 1.2853 1.9269
O 0.9077 3.8757 1.9269
O -1.3116 0.8350 4.6960
O 1.3116 -0.8350 4.6960
```

Calculated values
calculated volume = 150.9 Å³ per cell
SG = No. 82
raw formation energy = -1.70 eV per atom
total magnetic moment = 2.379 μB/f.u.
crystal system = tetragonal
calculated density = 5.88 Mg/m³

---

2.
VASP calculation (PBE) on crystalline Pm2TeO2 at its relaxed geometry.

```
5
Lattice="3.8713 0.0000 -1.1688 -0.3529 3.8552 -1.1689 0.0166 0.0183 7.0506" Properties=species:S:1:pos:R:3 pbc="T T T"
Pm 2.3298 2.5528 0.7211
Pm 1.2052 1.3206 3.9918
Te 0.0000 0.0000 0.0000
O 2.8235 0.9729 2.3565
O 0.7115 2.9005 2.3565
```

Calculated values
calculated volume = 105.4 Å³ per cell
SG = No. 139
raw formation energy = -2.91 eV per atom
total magnetic moment = 0.000 μB/f.u.
crystal system = tetragonal
calculated density = 7.08 Mg/m³

---

3.
VASP calculation (PBE) on crystalline Pm3TeO3 at its relaxed geometry.

```
14
Lattice="-1.4396 5.9151 3.2684 -6.5455 2.1485 0.5324 -3.3540 -0.9988 7.6340" Properties=species:S:1:pos:R:3 pbc="T T T"
Pm -5.0756 2.2750 3.3531
Pm -3.8009 5.5090 5.3642
Pm -7.7202 5.0063 4.6470
Pm -3.6188 2.0584 6.7878
Pm -7.5381 1.5557 6.0706
Pm -6.2634 4.7897 8.0817
Te -6.0156 1.6894 8.9004
Te -5.3235 5.3754 2.5345
O -7.9289 3.8083 6.6689
O -4.0485 4.3342 7.3954
O -5.2824 1.1169 5.3983
O -6.0566 5.9479 6.0365
O -7.2906 2.7305 4.0395
O -3.4102 3.2565 4.7659
```

Calculated values
calculated volume = 305.5 Å³ per cell
SG = No. 148
raw formation energy = -2.79 eV per atom
total magnetic moment = 0.001 μB/f.u.
crystal system = trigonal
calculated density = 6.64 Mg/m³
ΔE to the lowest computed polymorph = 0.000 eV/atom

---

4.
VASP calculation (PBE) on crystalline PmTe2O5 at its relaxed geometry.

```
32
Lattice="7.3710 0.0000 0.0000 0.0000 7.3789 0.0000 0.0000 0.0000 10.8385" Properties=species:S:1:pos:R:3 pbc="T T T"
Pm 5.5282 0.0000 10.2565
Pm 1.8427 3.6895 6.0012
Pm 1.8427 0.0000 0.5820
Pm 5.5282 3.6895 4.8373
Te 0.1703 2.9401 9.2537
Te 3.8558 0.7493 7.0041
Te 7.2007 6.6296 7.0041
Te 3.5152 4.4388 9.2537
Te 7.2007 4.4388 1.5848
Te 3.5152 6.6296 3.8344
Te 0.1703 0.7493 3.8344
Te 3.8558 2.9401 1.5848
O 1.8427 0.0000 4.7594
O 5.5282 3.6895 0.6599
O 5.5282 0.0000 6.0791
O 1.8427 3.6895 10.1786
O 4.9229 2.3424 3.0601
O 1.2374 1.3470 2.3592
O 2.4481 6.0319 2.3592
O 6.1336 5.0365 3.0601
O 2.4481 5.0365 7.7784
O 6.1336 6.0319 8.4793
O 4.9229 1.3470 8.4793
O 1.2374 2.3424 7.7784
O 0.1920 2.4630 4.7286
O 3.8775 1.2264 0.6907
O 7.1790 6.1525 0.6907
O 3.4935 4.9159 4.7286
O 7.1790 4.9159 6.1099
O 3.4935 6.1525 10.1478
O 0.1920 1.2264 10.1478
O 3.8775 2.4630 6.1099
```

Calculated values
calculated volume = 589.5 Å³ per cell
SG = No. 60
raw formation energy = -1.64 eV per atom
total magnetic moment = 0.000 μB/f.u.
crystal system = orthorhombic
calculated density = 5.41 Mg/m³

---

5.
VASP calculation (PBE) on crystalline PmTe2O6 at its relaxed geometry.

```
18
Lattice="7.5024 -0.2009 -2.3598 -2.3258 6.7107 1.0093 -0.5684 0.9620 7.0861" Properties=species:S:1:pos:R:3 pbc="T T T"
Pm -0.3148 6.2176 0.8875
Pm 4.9231 1.2542 4.8482
Te 0.8116 2.4882 1.7769
Te -0.0546 5.4114 4.7928
Te 3.7966 4.9837 3.9588
Te 4.6629 2.0605 0.9429
O 2.7846 2.6691 1.2410
O 5.4350 5.1600 2.8309
O 1.8237 4.8027 4.4946
O -0.8267 2.3119 2.9048
O 4.9072 1.2376 2.6030
O 4.2859 3.4071 4.8351
O -0.2989 6.2343 3.1326
O 0.3224 4.0647 0.9006
O 0.3164 1.2439 0.4208
O 0.3464 6.9637 5.8231
O 4.2919 6.2279 5.3148
O 4.2619 0.5081 -0.0875
```

Calculated values
calculated volume = 342.6 Å³ per cell
SG = No. 15
raw formation energy = -1.62 eV per atom
total magnetic moment = 0.000 μB/f.u.
crystal system = monoclinic
calculated density = 4.81 Mg/m³

---

6.
VASP calculation (PBE) on crystalline Pm2Te2O7 at its relaxed geometry.

```
22
Lattice="-6.7000 -0.2987 -3.8427 -2.0990 -6.5052 -3.6084 -5.8506 -4.2331 2.7561" Properties=species:S:1:pos:R:3 pbc="T T T"
Pm -9.1560 -6.8981 -2.9343
Pm -6.2307 -4.7816 -4.3124
Pm -8.1065 -3.6455 -1.1301
Pm -5.8060 -6.7488 -1.0130
Te -5.1812 -1.5290 -2.5082
Te -2.8807 -4.6323 -2.3911
Te -4.7565 -3.4962 0.7912
Te -1.8312 -1.3796 -0.5869
O -6.4979 -4.7975 0.5153
O -4.3934 -6.0720 -3.0548
O -5.9568 -2.3260 -0.6201
O -4.3096 -3.3236 -3.4145
O -10.9872 -8.2778 -3.5212
O -6.9743 -2.5905 -3.1862
O -3.3881 -0.4674 -1.8302
O -3.9367 -5.0511 -0.5173
O -3.0151 -2.1949 1.0671
O -1.3680 -3.1925 -1.7274
O -7.6753 -8.4465 -1.5088
O -7.3248 -5.5185 -2.3475
O -10.2561 -4.9650 -1.6402
O -8.1517 -6.2396 -5.2103
```

Calculated values
calculated volume = 326.5 Å³ per cell
SG = No. 227
raw formation energy = -2.07 eV per atom
total magnetic moment = 0.000 μB/f.u.
crystal system = cubic
calculated density = 6.68 Mg/m³
ΔE to the lowest computed polymorph = 0.066 eV/atom

---

7.
VASP calculation (PBE) on crystalline Pm2Te2O7 at its relaxed geometry.

```
11
Lattice="-0.0801 -5.8667 1.2584 -0.7585 -1.3203 -5.7097 5.9064 -0.1772 0.0438" Properties=species:S:1:pos:R:3 pbc="T T T"
Pm 3.9192 -0.5180 -1.6717
Pm 1.2288 -0.9794 -3.9942
Te 1.2545 -2.6852 -0.9197
Te 3.8134 -4.6790 -3.4878
O 2.8794 -6.1078 -4.3984
O -0.0262 -1.6362 -1.9209
O 2.1884 -1.2564 -0.0091
O 5.0940 -5.7280 -2.4867
O -0.0401 -2.9334 0.6292
O 2.5356 -2.1187 -2.5163
O 2.5322 -5.2455 -1.8912
```

Calculated values
calculated volume = 207.7 Å³ per cell
SG = No. 12
raw formation energy = -2.13 eV per atom
total magnetic moment = 0.000 μB/f.u.
crystal system = monoclinic
calculated density = 5.25 Mg/m³
ΔE to the lowest computed polymorph = 0.000 eV/atom

---

8.
VASP calculation (PBE) on crystalline PmTeO at its relaxed geometry.

```
6
Lattice="3.9085 0.0000 0.0000 -1.9542 3.3848 0.0000 0.0000 0.0000 10.5251" Properties=species:S:1:pos:R:3 pbc="T T T"
Pm 1.9542 1.1283 1.5483
Pm 0.0000 2.2565 8.9768
Te 1.9542 1.1283 6.4762
Te 0.0000 2.2565 4.0489
O 1.9542 1.1283 9.6598
O 0.0000 2.2565 0.8652
```

Calculated values
calculated volume = 139.2 Å³ per cell
SG = No. 164
raw formation energy = -2.00 eV per atom
total magnetic moment = 0.000 μB/f.u.
crystal system = trigonal
calculated density = 6.88 Mg/m³
ΔE to the lowest computed polymorph = 0.154 eV/atom